{
  "formula": "CsPrCr2O8",
  "functional": "PBE+U",
  "state": "optimized geometry",
  "total_magnetization_mub_per_cell": 0.00,
  "e_tot_ry_per_atom": -0.50755,
  "cell": [[5.9388, 0.0000, 0.0000], [-2.9694, 5.1431, 0.0000], [0.0000, 0.0000, 8.5812]],
  "species": ["Cs", "Pr", "Cr", "Cr", "O", "O", "O", "O", "O", "O", "O", "O"],
  "frac_coords": [[0.0000, 0.0000, 0.0000], [0.0000, 0.0000, 0.5000], [0.6667, 0.3333, 0.2615], [0.3333, 0.6667, 0.7385], [0.3333, 0.6667, 0.9277], [0.3585, 0.1865, 0.3260], [0.8135, 0.1721, 0.3260], [0.6667, 0.3333, 0.0723], [0.1865, 0.8279, 0.6740], [0.6415, 0.8135, 0.6740], [0.1721, 0.3585, 0.6740], [0.8279, 0.6415, 0.3260]]
}